[1]
This record from the Alexandria database describes crystalline Li2Pr3Th2Sb4 at its relaxed geometry. The functional is PBE.

Its calculated total energy is -0.1930 Ha/atom. The value obtained for the volume is 29.49 Å³ per atom.

a b c (Å): 4.4899 4.4899 18.5828
angles (deg): 90.00 90.00 120.00
With the nearest neighbours (Å) after each atom.
Fractional coordinates of all 11 atoms:
Li 0.6667 0.3333 0.8800  3 Sb 2.60
Li 0.3333 0.6667 0.1200  3 Sb 2.60
Pr 0.0000 0.0000 0.7702  6 Sb 3.15-3.39, 3 Li 3.30
Pr 0.0000 0.0000 0.0000  6 Sb 3.32, 6 Li 3.42
Pr 0.0000 0.0000 0.2298  6 Sb 3.15-3.39, 3 Li 3.30
Th 0.6667 0.3333 0.4235  3 Sb 3.17
Th 0.3333 0.6667 0.5765  3 Sb 3.17
Sb 0.6667 0.3333 0.1119  3 Li 2.60
Sb 0.3333 0.6667 0.8881  3 Li 2.60
Sb 0.6667 0.3333 0.6743  3 Pr 3.15, 3 Th 3.17
Sb 0.3333 0.6667 0.3257  3 Pr 3.15, 3 Th 3.17

***

[2]
This record from the Alexandria database describes crystalline Cs2Sn2S2O at its relaxed geometry. The functional is PBE.

Its calculated total energy is -0.1571 Ha/atom. The value obtained for the volume is 36.53 Å³ per atom.

a b c (Å): 6.6231 8.1864 8.1895
angles (deg): 43.95 68.33 56.21
With the nearest neighbours (Å) after each atom.
Fractional coordinates of all 7 atoms:
Cs 0.6943 0.9416 0.7651  4 S 3.53-3.69, 1 O 3.65, 1 Sn 3.94
Cs 0.3057 0.0584 0.2349  4 S 3.53-3.69, 1 O 3.65, 1 Sn 3.94
Sn 0.8056 0.3990 0.7494  1 O 2.04
Sn 0.1944 0.6010 0.2506  1 O 2.04
S 0.8555 0.4630 0.3750  2 Sn 2.61-2.63
S 0.1445 0.5370 0.6250  2 Sn 2.61-2.63
O 0.0000 0.0000 0.0000  2 Sn 2.04

***

[3]
This record from the Alexandria database describes crystalline LaMgPb6 at its relaxed geometry. The functional is PBE.

The value obtained for the calculated formation energy is -0.209 eV/atom. Its calculated total energy is -0.1398 Ha/atom. The value obtained for the volume is 29.66 Å³ per atom.

a b c (Å): 4.7630 7.0585 7.0585
angles (deg): 90.00 90.00 90.00
With the nearest neighbours (Å) after each atom.
Fractional coordinates of all 8 atoms:
La 0.5000 0.0000 0.0000  12 Pb 3.53-3.55
Mg 0.5000 0.5000 0.5000  12 Pb 3.35-3.53
Pb 0.0000 0.7363 0.2637  8 Pb 3.34-3.72, 2 Mg 3.35, 2 La 3.55
Pb 0.0000 0.2637 0.7363  8 Pb 3.34-3.72, 2 Mg 3.35, 2 La 3.55
Pb 0.0000 0.7364 0.7364  8 Pb 3.34-3.72, 2 Mg 3.35, 2 La 3.55
Pb 0.0000 0.2636 0.2636  8 Pb 3.34-3.72, 2 Mg 3.35, 2 La 3.55
Pb 0.5000 0.5000 0.0000  8 Pb 3.45, 2 La 3.53, 2 Mg 3.53
Pb 0.5000 0.0000 0.5000  8 Pb 3.45, 2 Mg 3.53, 2 La 3.53

***

[4]
This record from the Alexandria database describes crystalline Ga3FeSn at its relaxed geometry. The functional is PBE.

The value obtained for the calculated formation energy is 0.113 eV/atom. Its calculated total energy is -0.1542 Ha/atom. The value obtained for the volume is 19.74 Å³ per atom.

a b c (Å): 4.6214 4.6214 4.6214
angles (deg): 90.00 90.00 90.00
With the nearest neighbours (Å) after each atom.
Fractional coordinates of all 5 atoms:
Sn 0.5000 0.5000 0.5000  12 Ga 3.27
Ga 0.0000 0.5000 0.0000  2 Fe 2.31
Ga 0.0000 0.0000 0.5000  2 Fe 2.31
Ga 0.5000 0.0000 0.0000  2 Fe 2.31
Fe 0.0000 0.0000 0.0000  6 Ga 2.31

***

[5]
This record from the Alexandria database describes crystalline Re2NiHg at its relaxed geometry. The functional is PBE.

The value obtained for the calculated formation energy is 0.595 eV/atom. Its calculated total energy is -0.2627 Ha/atom. The value obtained for the volume is 15.68 Å³ per atom.

a b c (Å): 2.7674 3.9114 5.7930
angles (deg): 90.00 90.00 90.00
With the nearest neighbours (Å) after each atom.
Fractional coordinates of all 4 atoms:
Hg 0.5000 0.5000 0.2500  2 Hg 2.77, 2 Ni 2.90, 8 Re 2.95
Ni 0.5000 0.5000 0.7500  8 Re 2.67, 2 Ni 2.77, 2 Hg 2.90
Re 0.0000 0.0000 0.9543  1 Re 2.37
Re 0.0000 0.0000 0.5457  1 Re 2.37

***

[6]
This record from the Alexandria database describes crystalline SrAlAs2 at its relaxed geometry. The functional is PBE.

The value obtained for the calculated formation energy is -0.234 eV/atom. Its calculated total energy is -0.1439 Ha/atom. The value obtained for the volume is 23.71 Å³ per atom.

a b c (Å): 3.7993 3.7993 6.5701
angles (deg): 90.00 90.00 90.00
With the nearest neighbours (Å) after each atom.
Fractional coordinates of all 4 atoms:
Sr 0.0000 0.0000 0.4895  6 As 3.27-3.30, 4 Al 3.46
As 0.0000 0.0000 0.9912  4 Al 2.91, 4 As 3.01
As 0.5000 0.5000 0.1972  1 Al 2.46
Al 0.5000 0.5000 0.8221  1 As 2.46

***

[7]
This record from the Alexandria database describes crystalline Ta2AsPt at its relaxed geometry. The functional is PBE.

The value obtained for the calculated formation energy is -0.277 eV/atom. Its calculated total energy is -0.3262 Ha/atom. The value obtained for the volume is 16.92 Å³ per atom.

a b c (Å): 6.3233 4.7834 3.0608
angles (deg): 84.86 69.61 123.33
With the nearest neighbours (Å) after each atom.
Fractional coordinates of all 4 atoms:
As 0.0000 0.5000 0.5000  8 Ta 2.72-2.95, 2 Pt 2.99
Pt 0.5000 0.5000 0.0000  8 Ta 2.72-2.95, 2 As 2.99
Ta 0.0000 0.0000 0.0000  4 Pt 2.72-2.95, 4 As 2.72-2.95, 2 Ta 2.99
Ta 0.5000 0.0000 0.5000  4 As 2.72-2.95, 4 Pt 2.72-2.95, 2 Ta 2.99

***

[8]
This record from the Alexandria database describes crystalline LiAlFeRe at its relaxed geometry. The functional is PBE.

The value obtained for the calculated formation energy is -0.073 eV/atom. Its calculated total energy is -0.2468 Ha/atom. The value obtained for the volume is 12.24 Å³ per atom.

a b c (Å): 4.1067 4.1067 4.1067
angles (deg): 60.00 60.00 60.00
With the nearest neighbours (Å) after each atom.
Fractional coordinates of all 4 atoms:
Re 0.0000 0.0000 0.0000  4 Li 2.51, 4 Fe 2.51
Li 0.2500 0.2500 0.2500  4 Al 2.51, 4 Re 2.51
Fe 0.7500 0.7500 0.7500  4 Re 2.51, 4 Al 2.51
Al 0.5000 0.5000 0.5000  4 Fe 2.51, 4 Li 2.51